Record 1
Here is a relaxed structure of Ce2Sm3PaAs6 from Alexandria. Energies are from GGA-PBE.

a b c (Å): 7.266 7.266 7.255
angles (deg): 99.61 99.61 119.99
Fractional positions:
As1 0.244 0.244 0.755
As2 0.919 0.592 0.755
As3 0.756 0.756 0.245
As4 0.592 0.919 0.755
As5 0.081 0.408 0.245
As6 0.408 0.081 0.245
Pa1 0.000 0.000 0.000
Sm1 0.831 0.169 0.500
Sm2 0.500 0.500 0.500
Sm3 0.169 0.831 0.500
Ce1 0.334 0.666 0.000
Ce2 0.666 0.334 0.000

Results
**Energy of formation**: -1424.2 meV per atom
**D(E_F)**: 15.8 states/eV/cell
**Space-group type**: No. 12
**Total magnetic moment**: 1.7 μB/f.u.


Record 2
Here is a relaxed structure of Ce2SmPaAs4 from Alexandria. Energies are from GGA-PBE.

a b c (Å): 4.183 7.238 7.256
angles (deg): 109.43 90.00 90.00
Fractional positions:
Pa1 0.000 0.000 0.000
Sm1 0.500 0.500 0.000
As1 0.500 0.243 0.242
As2 0.000 0.755 0.246
As3 0.000 0.245 0.754
As4 0.500 0.757 0.758
Ce1 0.500 0.000 0.500
Ce2 0.000 0.500 0.500

Results
**Energy of formation**: -1358.8 meV per atom
**D(E_F)**: 15.0 states/eV/cell
**Space-group type**: No. 10
**Total magnetic moment**: 2.0 μB/f.u.


Record 3
Here is a relaxed structure of Ce3Sm2PaAs6 from Alexandria. Energies are from GGA-PBE.

a b c (Å): 7.258 7.258 7.278
angles (deg): 99.55 99.55 119.99
Fractional positions:
Ce1 0.500 0.500 0.500
Ce2 0.831 0.169 0.500
Ce3 0.169 0.831 0.500
As1 0.407 0.082 0.246
As2 0.758 0.758 0.247
As3 0.918 0.593 0.754
As4 0.242 0.242 0.753
As5 0.082 0.407 0.246
As6 0.593 0.918 0.754
Pa1 0.000 0.000 0.000
Sm1 0.334 0.666 0.000
Sm2 0.666 0.334 0.000

Results
**Energy of formation**: -1403.9 meV per atom
**D(E_F)**: 20.7 states/eV/cell
**Space-group type**: No. 12
**Total magnetic moment**: 2.6 μB/f.u.


| no. | theoretical density (Mg/m³) |
| --- | --- |
| 1 | 7.5 |
| 2 | 7.7 |
| 3 | 7.4 |